1.
Density functional theory data (PBE-GGA) for Tm3As after structural relaxation.

Results
energy of formation from the pure elements: -0.550 eV/atom
M_tot: 0.00 μB per formula unit
DFT total energy: -5.066 eV/atom
E above lowest polymorph: 0.0 meV/atom

abc: 6.3300 6.3300 6.3300
angles: 145.84 132.89 59.46
Last column: nearest neighbours and their distance in Å.
Fractional positions:
Tm  0.0000  0.0000  0.0000  4 As 3.14, 4 Tm 3.39
Tm  0.2946  0.7946  0.5000  2 As 2.92
Tm  0.7054  0.2054  0.5000  2 As 2.92
As  0.5000  0.5000  0.0000  8 Tm 2.92-3.14

2.
Density functional theory data (PBE-GGA) for TmAs3 after structural relaxation.

Results
energy of formation from the pure elements: -0.630 eV/atom
M_tot: 0.00 μB per formula unit
DFT total energy: -5.235 eV/atom

abc: 3.9415 5.6794 4.1564
angles: 90.00 90.00 90.00
Last column: nearest neighbours and their distance in Å.
Fractional positions:
Tm  0.0000  0.0000  0.0000  6 As 2.82-2.91
As  0.0000  0.5000  0.9290  2 As 2.57, 2 Tm 2.85
As  0.5000  0.0000  0.4848  4 Tm 2.82-2.91, 2 As 2.91
As  0.5000  0.5000  0.3265  2 As 2.57

3.
Density functional theory data (PBE-GGA) for TmU4As5 after structural relaxation.

Results
energy of formation from the pure elements: -0.870 eV/atom
M_tot: 9.88 μB per formula unit
DFT total energy: -8.158 eV/atom

abc: 10.9050 10.9050 10.9050
angles: 158.65 149.37 37.64
Last column: nearest neighbours and their distance in Å.
Fractional positions:
Tm  0.0000  0.0000  0.0000  6 As 2.87-2.88
U  0.1997  0.1997  0.0000  6 As 2.88-2.90
U  0.4003  0.4003  0.0000  6 As 2.88-2.89
U  0.5997  0.5997  0.0000  6 As 2.88-2.89
U  0.8003  0.8003  0.0000  6 As 2.88-2.90
As  0.0989  0.5989  0.5000  2 Tm 2.87, 4 U 2.88-2.90
As  0.3001  0.8001  0.5000  6 U 2.88-2.90
As  0.5000  0.0000  0.5000  2 Tm 2.88, 4 U 2.88
As  0.6999  0.1999  0.5000  6 U 2.88-2.90
As  0.9011  0.4011  0.5000  2 Tm 2.87, 4 U 2.88-2.90

4.
Density functional theory data (PBE-GGA) for Tm4UAs5 after structural relaxation.

Results
energy of formation from the pure elements: -1.344 eV/atom
M_tot: 2.20 μB per formula unit
DFT total energy: -6.586 eV/atom

abc: 7.0326 7.0326 7.0326
angles: 99.63 99.63 131.73
Last column: nearest neighbours and their distance in Å.
Fractional positions:
Tm  0.0994  0.6994  0.7988  6 As 2.86-2.88
Tm  0.3006  0.0994  0.4000  6 As 2.86-2.88
Tm  0.6994  0.9006  0.6000  6 As 2.86-2.88
Tm  0.9006  0.3006  0.2012  6 As 2.86-2.88
U  0.5000  0.5000  0.0000  6 As 2.85-2.88
As  0.0000  0.0000  0.0000  4 Tm 2.87, 2 U 2.88
As  0.2018  0.4014  0.6032  1 U 2.85, 5 Tm 2.86-2.88
As  0.4014  0.7982  0.1995  1 U 2.85, 5 Tm 2.86-2.88
As  0.5986  0.2018  0.8005  1 U 2.85, 5 Tm 2.86-2.88
As  0.7982  0.5986  0.3968  1 U 2.85, 5 Tm 2.86-2.88